# Hf6Hg2H | Alexandria via LeMat-Bulk | GGA-PBE | relaxed
# Total magnetic moment ... 0.0 μB/f.u.
# N(E_F) ... 8.79 states/eV/f.u.
# DFT total energy ... -7.07 eV/atom
data_Hf6Hg2H
_cell_length_a 6.074
_cell_length_b 5.962
_cell_length_c 11.579
_cell_angle_alpha 90.00
_cell_angle_beta 121.43
_cell_angle_gamma 90.00
_space_group_name_H-M_alt 'P 1 21/c 1'
_space_group_IT_number 14
_space_group_name_Hall '-P 2ybc'
loop_
_atom_site_label
_atom_site_type_symbol
_atom_site_fract_x
_atom_site_fract_y
_atom_site_fract_z
_atom_site_occupancy
Hf1 Hf 0.100 0.002 0.251 1
Hf2 Hf 0.134 0.248 0.522 1
Hf3 Hf 0.385 0.702 0.520 1
Hg1 Hg 0.373 0.592 0.245 1
H1 H 0.500 0.000 0.500 1